Ac2TbOs2N6 | GGA-PBE | optimized geometry

Values from the calculation:
Energy relative to the elements, uncorrected ... -0.5487 eV/atom
Space-group type ... R-3m

a = 7.0400 Å, b = 7.0400 Å, c = 7.0400 Å
α = 49.23°, β = 49.23°, γ = 49.23°
Element x y z (fractional)
Ac 0.2122 0.2122 0.2122
Ac 0.7878 0.7878 0.7878
Tb 0.0000 0.0000 0.0000
Os 0.3985 0.3985 0.3985
Os 0.6015 0.6015 0.6015
N 0.2314 0.7426 0.7426
N 0.2574 0.2574 0.7686
N 0.2574 0.7686 0.2574
N 0.7426 0.2314 0.7426
N 0.7426 0.7426 0.2314
N 0.7686 0.2574 0.2574